DFT (GGA-PBE) results for a relaxed structure of V6PRh12.

* DOS(E_F): 59.03 states/eV/cell
* magnetic moment: 0.001 μB/f.u.
* formation enthalpy at 0 K: -310 meV per atom

a b c (Å): 11.7355 11.7355 6.6240
angles (deg): 90.00 90.00 120.00
With the nearest neighbours (Å) after each atom.
Space group R-3 (No. 148, hexagonal axes)
Unique sites:
V 0.0254 0.7550 0.3477 [18 per cell]  9 Rh 2.53-2.79, 2 V 2.73
P 0.0000 0.0000 0.0000 [3 per cell]  12 Rh 2.74-2.76
Rh 0.0110 0.8690 0.6620 [18 per cell]  4 V 2.53-2.73, 7 Rh 2.64-2.81, 1 P 2.76
Rh 0.0662 0.5048 0.6725 [18 per cell]  5 V 2.60-2.79, 6 Rh 2.64-2.81, 1 P 2.74